Compound: KNi2
Source: Alexandria
Functional: GGA-PBE
Structure: relaxed

Cell lengths 3.8778, 3.8778, 5.2122 Å; angles 90.00, 90.00, 120.00 degrees
Space group P6/mmm (No. 191)
Inequivalent atoms, fractional coordinates:
K (0.0000, 0.0000, 0.0000)
Ni (0.3333, 0.6667, 0.5000)

Summary:
Magnetic moment, μB/f.u.: 1.07
Density, g cm⁻³: 3.83
V, Å³ per atom: 22.626
Energy relative to the elements, meV/atom: 623